Record 1
Below is SiMoOs2 after structural relaxation, with properties calculated at the PBE level.

ρ, g/cm³: 14.49
Crystal system: orthorhombic
Total magnetic moment, μB/cell: 0.0
E_form (uncorrected), eV/atom: -0.003

a = 2.823 Å, b = 3.925 Å, c = 5.218 Å
α = 90.00°, β = 90.00°, γ = 90.00°
Space group Pmm2 (No. 25)
Asymmetric unit:
1 Si 0.000 0.000 0.000 x1
2 Mo 0.500 0.500 0.284 x1
3 Os 0.000 0.000 0.497 x1
4 Os 0.500 0.500 0.814 x1

=====

Record 2
Below is SiMo2Os after structural relaxation, with properties calculated at the PBE level.

ρ, g/cm³: 11.50
Crystal system: tetragonal
Total magnetic moment, μB/cell: 0.1
E_form (uncorrected), eV/atom: 0.107

a = 4.570 Å, b = 4.570 Å, c = 2.837 Å
α = 90.00°, β = 90.00°, γ = 90.00°
Space group P4/mmm (No. 123)
Asymmetric unit:
1 Si 0.000 0.000 0.000 x1
2 Mo 0.000 0.500 0.500 x2
3 Os 0.500 0.500 0.000 x1

=====

Record 3
Below is SiMoOs2 after structural relaxation, with properties calculated at the PBE level.

ρ, g/cm³: 14.67
Crystal system: tetragonal
Total magnetic moment, μB/cell: 0.0
E_form (uncorrected), eV/atom: 0.053

a = 3.743 Å, b = 3.743 Å, c = 8.148 Å
α = 90.00°, β = 90.00°, γ = 90.00°
Space group I-4m2 (No. 119)
Asymmetric unit:
1 Si 0.000 0.000 0.000 x2
2 Mo 0.000 0.500 0.750 x2
3 Os 0.000 0.000 0.500 x2
4 Os 0.000 0.500 0.250 x2

=====

Record 4
Below is Si2MoOs after structural relaxation, with properties calculated at the PBE level.

ρ, g/cm³: 10.11
Crystal system: trigonal
Total magnetic moment, μB/cell: 0.0
E_form (uncorrected), eV/atom: -0.059

a = 2.8379 Å, b = 2.8379 Å, c = 24.1863 Å
α = 90.00°, β = 90.00°, γ = 120.00°
Space group R-3m (No. 166, hexagonal axes)
Asymmetric unit:
1 Si 0.0000 0.0000 0.2461 x6
2 Mo 0.0000 0.0000 0.0000 x3
3 Os 0.0000 0.0000 0.5000 x3

=====

Record 5
Below is SiMoOs2 after structural relaxation, with properties calculated at the PBE level.

ρ, g/cm³: 14.37
Crystal system: orthorhombic
Total magnetic moment, μB/cell: 0.0
E_form (uncorrected), eV/atom: 0.314

a = 2.926 Å, b = 4.669 Å, c = 8.533 Å
α = 90.00°, β = 90.00°, γ = 90.00°
Space group Cmm2 (No. 35)
Asymmetric unit:
1 Si 0.000 0.000 0.000 x2
2 Mo 0.000 0.500 0.246 x2
3 Os 0.000 0.000 0.503 x2
4 Os 0.000 0.500 0.778 x2

=====

Record 6
Below is SiMo2Os after structural relaxation, with properties calculated at the PBE level.

ρ, g/cm³: 11.64
Crystal system: orthorhombic
Total magnetic moment, μB/cell: 0.0
E_form (uncorrected), eV/atom: -0.142

a = 2.807 Å, b = 4.080 Å, c = 5.107 Å
α = 90.00°, β = 90.00°, γ = 90.00°
Space group Pmmm (No. 47)
Asymmetric unit:
1 Si 0.000 0.000 0.000 x1
2 Mo 0.500 0.500 0.245 x2
3 Os 0.000 0.000 0.500 x1

=====

Record 7
Below is Si2MoOs after structural relaxation, with properties calculated at the PBE level.

ρ, g/cm³: 10.54
Crystal system: tetragonal
Total magnetic moment, μB/cell: 0.0
E_form (uncorrected), eV/atom: -0.225

a = 2.975 Å, b = 2.975 Å, c = 6.096 Å
α = 90.00°, β = 90.00°, γ = 90.00°
Space group P4/mmm (No. 123)
Asymmetric unit:
1 Si 0.000 0.000 0.242 x2
2 Mo 0.500 0.500 0.500 x1
3 Os 0.500 0.500 0.000 x1

=====

Record 8
Below is Si2MoOs after structural relaxation, with properties calculated at the PBE level.

ρ, g/cm³: 9.52
Crystal system: tetragonal
Total magnetic moment, μB/cell: 0.0
E_form (uncorrected), eV/atom: 0.106

a = 2.772 Å, b = 2.772 Å, c = 7.772 Å
α = 90.00°, β = 90.00°, γ = 90.00°
Space group P4mm (No. 99)
Asymmetric unit:
1 Si 0.000 0.000 0.000 x1
2 Si 0.500 0.500 0.301 x1
3 Mo 0.000 0.000 0.545 x1
4 Os 0.500 0.500 0.787 x1

=====

Record 9
Below is SiMo2Os after structural relaxation, with properties calculated at the PBE level.

ρ, g/cm³: 10.71
Crystal system: tetragonal
Total magnetic moment, μB/cell: 0.0
E_form (uncorrected), eV/atom: 0.482

a = 3.710 Å, b = 3.710 Å, c = 18.482 Å
α = 90.00°, β = 90.00°, γ = 90.00°
Space group I-42d (No. 122)
Asymmetric unit:
1 Si 0.000 0.000 0.000 x4
2 Mo 0.225 0.250 0.125 x8
3 Os 0.000 0.000 0.500 x4

=====

Record 10
Below is SiMo4Os after structural relaxation, with properties calculated at the PBE level.

ρ, g/cm³: 10.42
Crystal system: cubic
Total magnetic moment, μB/cell: 0.0
E_form (uncorrected), eV/atom: 0.540

a = 7.268 Å, b = 7.268 Å, c = 7.268 Å
α = 90.00°, β = 90.00°, γ = 90.00°
Space group F-43m (No. 216)
Asymmetric unit:
1 Si 0.000 0.000 0.000 x4
2 Mo 0.126 0.126 0.626 x16
3 Os 0.250 0.250 0.250 x4

=====

Record 11
Below is SiMo2Os after structural relaxation, with properties calculated at the PBE level.

ρ, g/cm³: 11.54
Crystal system: monoclinic
Total magnetic moment, μB/cell: 0.0
E_form (uncorrected), eV/atom: -0.094

a = 2.816 Å, b = 4.276 Å, c = 4.943 Å
α = 90.00°, β = 97.49°, γ = 90.00°
Space group Pm (No. 6)
Asymmetric unit:
1 Si 0.000 0.000 0.000 x1
2 Mo 0.363 0.000 0.504 x1
3 Mo 0.567 0.500 0.220 x1
4 Os 0.978 0.500 0.739 x1

=====

Record 12
Below is SiMo2Os after structural relaxation, with properties calculated at the PBE level.

ρ, g/cm³: 11.71
Crystal system: tetragonal
Total magnetic moment, μB/cell: 0.0
E_form (uncorrected), eV/atom: -0.111

a = 2.850 Å, b = 2.850 Å, c = 7.160 Å
α = 90.00°, β = 90.00°, γ = 90.00°
Space group P4/mmm (No. 123)
Asymmetric unit:
1 Si 0.000 0.000 0.000 x1
2 Mo 0.500 0.500 0.240 x2
3 Os 0.000 0.000 0.500 x1